Material: Nb2ReRhN
Method: DFT, PBE
State: relaxed

Computed properties:
Raw total energy: -8.60 eV per atom
Size of the total moment: 0.000 μB/cell
Raw formation energy: 5.3 eV per formula unit
Space-group type: No. 123

abc: 5.008 3.711 5.008
angles: 90.00 90.00 90.00
Positions (direct):
Re 0.000 0.000 0.000
Nb 0.000 0.000 0.500
Nb 0.500 0.000 0.000
Rh 0.500 0.500 0.500
N 0.000 0.500 0.000